The following is a GGA-PBE calculation of a relaxed Ac2Te3I crystal, from Alexandria via LeMat-Bulk.

Cell lengths 8.7530, 8.7530, 22.3959 Å; angles 90.00, 90.00, 120.00 degrees
Space group R-3c (No. 167, hexagonal axes)
Asymmetric unit:
Ac (0.0000, 0.0000, 0.1459) (multiplicity 12)
Te (0.0000, 0.2791, 0.2500) (multiplicity 18)
I (0.0000, 0.0000, 0.0000) (multiplicity 6)

Formation energy (no corrections) in meV/atom: -1210
DOS(E_F) in states/eV/cell: 36.55
Density in g/cm³: 6.46

=====

The following is a GGA-PBE calculation of a relaxed InB2Sb crystal, from Alexandria via LeMat-Bulk.

Cell lengths 6.420, 6.420, 6.420 Å; angles 90.00, 90.00, 90.00 degrees
Space group Fm-3m (No. 225)
Asymmetric unit:
In (0.000, 0.000, 0.000) (multiplicity 4)
B (0.250, 0.250, 0.250) (multiplicity 8)
Sb (0.000, 0.000, 0.500) (multiplicity 4)

Formation energy (no corrections) in meV/atom: 1485
Excess energy over the best structure of this formula in the dataset in meV/atom: 679
DOS(E_F) in states/eV/cell: 9.43
Density in g/cm³: 6.48

=====

The following is a GGA-PBE calculation of a relaxed NaHfScBe2 crystal, from Alexandria via LeMat-Bulk.

Cell lengths 4.929, 4.929, 5.039 Å; angles 90.00, 90.00, 90.00 degrees
Space group P4/mmm (No. 123)
Asymmetric unit:
Na (0.000, 0.000, 0.000) (multiplicity 1)
Hf (0.500, 0.500, 0.500) (multiplicity 1)
Sc (0.500, 0.500, 0.000) (multiplicity 1)
Be (0.000, 0.500, 0.500) (multiplicity 2)

ΔE_f in eV/atom: 1.223
DOS(E_F) in states/eV/cell: 4.17
Density in g/cm³: 3.59

=====

The following is a GGA-PBE calculation of a relaxed EuLuBi2 crystal, from Alexandria via LeMat-Bulk.

Cell lengths 7.877, 7.877, 7.877 Å; angles 90.00, 90.00, 90.00 degrees
Space group Fm-3m (No. 225)
Asymmetric unit:
Eu (0.000, 0.000, 0.000) (multiplicity 4)
Lu (0.000, 0.000, 0.500) (multiplicity 4)
Bi (0.250, 0.250, 0.250) (multiplicity 8)

Excess energy over the best structure of this formula in the dataset in meV/atom: 151
ΔE_f in eV/atom: -0.584
DOS(E_F) in states/eV/cell: 13.45
Density in g/cm³: 10.12

=====

The following is a GGA-PBE calculation of a relaxed MgMnP2 crystal, from Alexandria via LeMat-Bulk.

Cell lengths 5.588, 5.588, 10.372 Å; angles 90.00, 90.00, 90.00 degrees
Space group I-42d (No. 122)
Asymmetric unit:
Mg (0.000, 0.000, 0.000) (multiplicity 4)
Mn (0.000, 0.000, 0.500) (multiplicity 4)
P (0.181, 0.250, 0.625) (multiplicity 8)

ΔE_f in eV/atom: -0.109
DOS(E_F) in states/eV/cell: 9.51
Density in g/cm³: 2.90

=====

The following is a GGA-PBE calculation of a relaxed NaSr2Tl8 crystal, from Alexandria via LeMat-Bulk.

Cell lengths 5.133, 5.133, 13.051 Å; angles 90.00, 90.00, 90.00 degrees
Space group P4/mmm (No. 123)
Asymmetric unit:
Na (0.000, 0.000, 0.000) (multiplicity 1)
Sr (0.000, 0.000, 0.319) (multiplicity 2)
Tl (0.000, 0.500, 0.136) (multiplicity 4)
Tl (0.000, 0.500, 0.500) (multiplicity 2)
Tl (0.500, 0.500, 0.314) (multiplicity 2)

Excess energy over the best structure of this formula in the dataset in meV/atom: 0
ΔE_f in eV/atom: -0.162
DOS(E_F) in states/eV/cell: 7.19
Density in g/cm³: 8.85

=====

The following is a GGA-PBE calculation of a relaxed PmHoZr crystal, from Alexandria via LeMat-Bulk.

Cell lengths 5.4083, 5.4083, 3.3905 Å; angles 90.00, 90.00, 120.00 degrees
Space group P-6m2 (No. 187)
Asymmetric unit:
Pm (0.0000, 0.0000, 0.0000) (multiplicity 1)
Ho (0.6667, 0.3333, 0.5000) (multiplicity 1)
Zr (0.3333, 0.6667, 0.0000) (multiplicity 1)

Excess energy over the best structure of this formula in the dataset in meV/atom: 46
ΔE_f in eV/atom: 0.142
DOS(E_F) in states/eV/cell: 6.13
Density in g/cm³: 7.76

=====

The following is a GGA-PBE calculation of a relaxed SrMg2CuS4 crystal, from Alexandria via LeMat-Bulk.

Cell lengths 3.790, 12.832, 13.146 Å; angles 90.00, 90.00, 90.00 degrees
Space group Cmcm (No. 63)
Asymmetric unit:
Sr (0.000, 0.121, 0.250) (multiplicity 4)
Mg (0.000, 0.374, 0.054) (multiplicity 8)
Cu (0.000, 0.153, 0.750) (multiplicity 4)
S (0.000, 0.000, 0.000) (multiplicity 4)
S (0.000, 0.262, 0.612) (multiplicity 8)
S (0.000, 0.443, 0.250) (multiplicity 4)

Formation energy (no corrections) in meV/atom: -1199
DOS(E_F) in states/eV/cell: 17.62
Density in g/cm³: 3.41

=====

The following is a GGA-PBE calculation of a relaxed AlZn2Se crystal, from Alexandria via LeMat-Bulk.

Cell lengths 6.304, 6.304, 9.750 Å; angles 90.00, 90.00, 90.00 degrees
Space group I-42d (No. 122)
Asymmetric unit:
Al (0.000, 0.000, 0.000) (multiplicity 4)
Zn (0.239, 0.250, 0.625) (multiplicity 8)
Se (0.000, 0.000, 0.500) (multiplicity 4)

Formation energy (no corrections) in meV/atom: 45
Excess energy over the best structure of this formula in the dataset in meV/atom: 187
DOS(E_F) in states/eV/cell: 4.82
Density in g/cm³: 4.06

=====

The following is a GGA-PBE calculation of a relaxed NiAgBr2 crystal, from Alexandria via LeMat-Bulk.

Cell lengths 3.956, 3.578, 7.612 Å; angles 90.00, 104.13, 90.00 degrees
Space group Pm (No. 6)
Asymmetric unit:
Ni (0.000, 0.000, 0.000) (multiplicity 1)
Ag (0.445, 0.500, 0.881) (multiplicity 1)
Br (0.097, 0.500, 0.210) (multiplicity 1)
Br (0.855, 0.000, 0.685) (multiplicity 1)

Formation energy (no corrections) in meV/atom: -120
Excess energy over the best structure of this formula in the dataset in meV/atom: 0
DOS(E_F) in states/eV/cell: 3.82
Density in g/cm³: 5.19

=====

The following is a GGA-PBE calculation of a relaxed KIn2Tc crystal, from Alexandria via LeMat-Bulk.

Cell lengths 3.775, 3.775, 8.319 Å; angles 90.00, 90.00, 90.00 degrees
Space group P4mm (No. 99)
Asymmetric unit:
K (0.000, 0.000, 0.000) (multiplicity 1)
In (0.000, 0.000, 0.400) (multiplicity 1)
In (0.500, 0.500, 0.669) (multiplicity 1)
Tc (0.500, 0.500, 0.354) (multiplicity 1)

Excess energy over the best structure of this formula in the dataset in meV/atom: 157
ΔE_f in eV/atom: 0.457
DOS(E_F) in states/eV/cell: 2.92
Density in g/cm³: 5.14

=====

The following is a GGA-PBE calculation of a relaxed BaP2SCl crystal, from Alexandria via LeMat-Bulk.

Cell lengths 6.525, 6.525, 6.117 Å; angles 90.00, 90.00, 90.00 degrees
Space group P4/mmm (No. 123)
Asymmetric unit:
Ba (0.000, 0.000, 0.000) (multiplicity 1)
P (0.000, 0.500, 0.000) (multiplicity 2)
S (0.000, 0.000, 0.500) (multiplicity 1)
Cl (0.500, 0.500, 0.500) (multiplicity 1)

Formation energy (no corrections) in meV/atom: 1033
Excess energy over the best structure of this formula in the dataset in meV/atom: 1431
DOS(E_F) in states/eV/cell: 6.93
Density in g/cm³: 1.70

=====

The following is a GGA-PBE calculation of a relaxed Sr2UP3Rh4 crystal, from Alexandria via LeMat-Bulk.

Cell lengths 4.115, 4.115, 11.042 Å; angles 90.00, 90.00, 90.00 degrees
Space group P-4m2 (No. 115)
Asymmetric unit:
Sr (0.000, 0.500, 0.229) (multiplicity 2)
U (0.000, 0.000, 0.500) (multiplicity 1)
P (0.000, 0.500, 0.878) (multiplicity 2)
P (0.500, 0.500, 0.500) (multiplicity 1)
Rh (0.000, 0.000, 0.000) (multiplicity 1)
Rh (0.000, 0.500, 0.658) (multiplicity 2)
Rh (0.500, 0.500, 0.000) (multiplicity 1)

ΔE_f in eV/atom: -0.781
DOS(E_F) in states/eV/cell: 10.93
Density in g/cm³: 8.15

=====

The following is a GGA-PBE calculation of a relaxed RbGdSn2 crystal, from Alexandria via LeMat-Bulk.

Cell lengths 4.146, 4.146, 8.141 Å; angles 90.00, 90.00, 90.00 degrees
Space group P4/mmm (No. 123)
Asymmetric unit:
Rb (0.000, 0.000, 0.000) (multiplicity 1)
Gd (0.000, 0.000, 0.500) (multiplicity 1)
Sn (0.500, 0.500, 0.321) (multiplicity 2)

ΔE_f in eV/atom: -0.419
DOS(E_F) in states/eV/cell: 1.81
Density in g/cm³: 5.70

=====

The following is a GGA-PBE calculation of a relaxed NaRh3O4 crystal, from Alexandria via LeMat-Bulk.

Cell lengths 5.690, 5.690, 5.690 Å; angles 90.00, 90.00, 90.00 degrees
Space group Pm-3n (No. 223)
Asymmetric unit:
Na (0.000, 0.000, 0.000) (multiplicity 2)
Rh (0.000, 0.250, 0.500) (multiplicity 6)
O (0.250, 0.250, 0.250) (multiplicity 8)

Formation energy (no corrections) in meV/atom: -811
DOS(E_F) in states/eV/cell: 19.77
Density in g/cm³: 7.13

=====

The following is a GGA-PBE calculation of a relaxed Y2ZrN crystal, from Alexandria via LeMat-Bulk.

Cell lengths 3.3645, 3.3645, 27.4382 Å; angles 90.00, 90.00, 120.00 degrees
Space group R-3m (No. 166, hexagonal axes)
Asymmetric unit:
Y (0.0000, 0.0000, 0.1171) (multiplicity 6)
Zr (0.0000, 0.0000, 0.0000) (multiplicity 3)
N (0.0000, 0.0000, 0.5000) (multiplicity 3)

Formation energy (no corrections) in meV/atom: -546
DOS(E_F) in states/eV/cell: 12.65
Density in g/cm³: 5.24

=====

The following is a GGA-PBE calculation of a relaxed ZrRhNO2 crystal, from Alexandria via LeMat-Bulk.

Cell lengths 3.863, 3.863, 3.922 Å; angles 90.00, 90.00, 90.00 degrees
Space group P4/mmm (No. 123)
Asymmetric unit:
Zr (0.000, 0.000, 0.000) (multiplicity 1)
Rh (0.500, 0.500, 0.500) (multiplicity 1)
N (0.500, 0.500, 0.000) (multiplicity 1)
O (0.000, 0.500, 0.500) (multiplicity 2)

Formation energy (no corrections) in meV/atom: -498
DOS(E_F) in states/eV/cell: 1.79
Density in g/cm³: 6.81

=====

The following is a GGA-PBE calculation of a relaxed TcNiIr3 crystal, from Alexandria via LeMat-Bulk.

Cell lengths 4.396, 4.396, 4.396 Å; angles 90.00, 90.00, 90.00 degrees
Space group Pm-3m (No. 221)
Asymmetric unit:
Tc (0.000, 0.000, 0.000) (multiplicity 1)
Ni (0.500, 0.500, 0.500) (multiplicity 1)
Ir (0.000, 0.500, 0.500) (multiplicity 3)

Excess energy over the best structure of this formula in the dataset in meV/atom: 1730
ΔE_f in eV/atom: 1.668
DOS(E_F) in states/eV/cell: 14.73
Density in g/cm³: 14.33

=====

The following is a GGA-PBE calculation of a relaxed ScCdSb2 crystal, from Alexandria via LeMat-Bulk.

Cell lengths 4.147, 4.147, 6.006 Å; angles 90.00, 90.00, 90.00 degrees
Space group P4mm (No. 99)
Asymmetric unit:
Sc (0.000, 0.000, 0.000) (multiplicity 1)
Cd (0.500, 0.500, 0.367) (multiplicity 1)
Sb (0.000, 0.000, 0.492) (multiplicity 1)
Sb (0.500, 0.500, 0.886) (multiplicity 1)

Formation energy (no corrections) in meV/atom: -360
DOS(E_F) in states/eV/cell: 2.37
Density in g/cm³: 6.45

=====

The following is a GGA-PBE calculation of a relaxed HfZr3Rh2 crystal, from Alexandria via LeMat-Bulk.

Cell lengths 6.500, 12.537, 6.603 Å; angles 90.00, 90.00, 90.00 degrees
Space group Ibam (No. 72)
Asymmetric unit:
Hf (0.000, 0.000, 0.000) (multiplicity 4)
Zr (0.000, 0.230, 0.250) (multiplicity 8)
Zr (0.000, 0.500, 0.250) (multiplicity 4)
Rh (0.204, 0.361, 0.000) (multiplicity 8)

ΔE_f in eV/atom: -0.302
DOS(E_F) in states/eV/cell: 24.89
Density in g/cm³: 8.12

=====

The following is a GGA-PBE calculation of a relaxed Rb3Tl2Pt crystal, from Alexandria via LeMat-Bulk.

Cell lengths 15.343, 10.398, 7.200 Å; angles 90.00, 90.00, 90.00 degrees
Space group Cmcm (No. 63)
Asymmetric unit:
Rb (0.000, 0.241, 0.250) (multiplicity 4)
Rb (0.170, 0.171, 0.750) (multiplicity 8)
Tl (0.128, 0.500, 0.000) (multiplicity 8)
Pt (0.000, 0.409, 0.750) (multiplicity 4)

ΔE_f in eV/atom: -0.113
DOS(E_F) in states/eV/cell: 15.15
Density in g/cm³: 4.97

=====

The following is a GGA-PBE calculation of a relaxed MgNiCl crystal, from Alexandria via LeMat-Bulk.

Cell lengths 6.028, 6.028, 6.028 Å; angles 90.00, 90.00, 90.00 degrees
Space group F-43m (No. 216)
Asymmetric unit:
Mg (0.000, 0.000, 0.000) (multiplicity 4)
Ni (0.250, 0.250, 0.250) (multiplicity 4)
Cl (0.000, 0.000, 0.500) (multiplicity 4)

Formation energy (no corrections) in meV/atom: 68
Excess energy over the best structure of this formula in the dataset in meV/atom: 359
DOS(E_F) in states/eV/cell: 3.47
Density in g/cm³: 3.59

=====

The following is a GGA-PBE calculation of a relaxed HfAlTc2S crystal, from Alexandria via LeMat-Bulk.

Cell lengths 4.373, 4.373, 4.509 Å; angles 90.00, 90.00, 90.00 degrees
Space group P4/mmm (No. 123)
Asymmetric unit:
Hf (0.000, 0.000, 0.000) (multiplicity 1)
Al (0.500, 0.500, 0.000) (multiplicity 1)
Tc (0.000, 0.500, 0.500) (multiplicity 2)
S (0.500, 0.500, 0.500) (multiplicity 1)

Formation energy (no corrections) in meV/atom: 241
DOS(E_F) in states/eV/cell: 3.42
Density in g/cm³: 8.35

=====

The following is a GGA-PBE calculation of a relaxed Sr2Ga4Ge3Pt crystal, from Alexandria via LeMat-Bulk.

Cell lengths 4.590, 4.590, 10.399 Å; angles 90.00, 90.00, 90.00 degrees
Space group P-4m2 (No. 115)
Asymmetric unit:
Sr (0.000, 0.500, 0.239) (multiplicity 2)
Ga (0.000, 0.000, 0.500) (multiplicity 1)
Ga (0.000, 0.500, 0.884) (multiplicity 2)
Ga (0.500, 0.500, 0.500) (multiplicity 1)
Ge (0.000, 0.000, 0.000) (multiplicity 1)
Ge (0.000, 0.500, 0.633) (multiplicity 2)
Pt (0.500, 0.500, 0.000) (multiplicity 1)

ΔE_f in eV/atom: -0.456
DOS(E_F) in states/eV/cell: 3.19
Density in g/cm³: 6.57

=====

The following is a GGA-PBE calculation of a relaxed Sm4ThMg crystal, from Alexandria via LeMat-Bulk.

Cell lengths 3.619, 3.619, 14.601 Å; angles 90.00, 90.00, 90.00 degrees
Space group P4/mmm (No. 123)
Asymmetric unit:
Sm (0.000, 0.000, 0.151) (multiplicity 2)
Sm (0.500, 0.500, 0.330) (multiplicity 2)
Th (0.000, 0.000, 0.500) (multiplicity 1)
Mg (0.500, 0.500, 0.000) (multiplicity 1)

ΔE_f in eV/atom: -0.002
DOS(E_F) in states/eV/cell: 6.88
Density in g/cm³: 7.45